Here is an optimized crystal structure of Sc2TcMoOs from the Alexandria database. Energies are from PBE.

Unit cell a=4.7782 b=4.5864 c=4.7782 alpha=90.00 beta=90.00 gamma=90.00
Closest atoms and distances in Å follow each position.
Fractional coordinates of all 5 atoms:
Sc  0.5000  0.0000  0.0000  2 Tc 2.39
Sc  0.0000  0.0000  0.5000  2 Tc 2.39
Tc  0.0000  0.0000  0.0000  2 Mo 2.29, 4 Sc 2.39
Mo  0.0000  0.5000  0.0000  2 Tc 2.29
Os  0.5000  0.5000  0.5000  8 Sc 3.31, 4 Mo 3.38

Summary:
The formation enthalpy at 0 K comes out at 1.14 eV/atom.